Material: LiUW
Method: DFT, GGA-PBE
State: optimized geometry

Cell: 4.3984 4.3984 4.3984 Å, 60.00 60.00 60.00°
Last column: nearest neighbours and their distance in Å.
Positions (direct):
Li 0.0000 0.0000 0.0000  4 U 2.69
U 0.2500 0.2500 0.2500  4 W 2.69, 4 Li 2.69
W 0.5000 0.5000 0.5000  4 U 2.69

Output
The calculation puts the size of the total moment at 0.692 μB/cell. Its space-group type is F-43m. Its energy relative to the lowest polymorph listed for this composition is 0.437 eV per atom.

Material: LiYU
Method: DFT, GGA-PBE
State: optimized geometry

Cell: 4.8877 4.8877 4.8877 Å, 60.00 60.00 60.00°
Last column: nearest neighbours and their distance in Å.
Positions (direct):
Li 0.0000 0.0000 0.0000  4 U 2.99, 4 Y 2.99
Y 0.2500 0.2500 0.2500  4 Li 2.99
U 0.7500 0.7500 0.7500  4 Li 2.99

Output
The calculation puts the size of the total moment at 4.610 μB/cell. Its space-group type is F-43m. Its energy relative to the lowest polymorph listed for this composition is 0.000 eV per atom.

Material: LiUZn
Method: DFT, GGA-PBE
State: optimized geometry

Cell: 4.7765 4.7765 4.7765 Å, 60.00 60.00 60.00°
Last column: nearest neighbours and their distance in Å.
Positions (direct):
Li 0.0000 0.0000 0.0000  4 U 2.93
U 0.2500 0.2500 0.2500  4 Li 2.93, 4 Zn 2.93
Zn 0.5000 0.5000 0.5000  4 U 2.93

Output
The calculation puts the size of the total moment at 3.683 μB/cell. Its space-group type is F-43m. Its energy relative to the lowest polymorph listed for this composition is 0.262 eV per atom.

Material: LiUZn
Method: DFT, GGA-PBE
State: optimized geometry

Cell: 4.4375 4.4375 4.4375 Å, 60.00 60.00 60.00°
Last column: nearest neighbours and their distance in Å.
Positions (direct):
Li 0.0000 0.0000 0.0000  4 U 2.72, 4 Zn 2.72
U 0.7500 0.7500 0.7500  4 Li 2.72
Zn 0.2500 0.2500 0.2500  4 Li 2.72

Output
The calculation puts the size of the total moment at 3.744 μB/cell. Its space-group type is F-43m. Its energy relative to the lowest polymorph listed for this composition is 0.000 eV per atom.

Material: LiZrU
Method: DFT, GGA-PBE
State: optimized geometry

Cell: 4.5269 4.5269 4.5269 Å, 60.00 60.00 60.00°
Last column: nearest neighbours and their distance in Å.
Positions (direct):
Li 0.0000 0.0000 0.0000  4 U 2.77, 4 Zr 2.77
Zr 0.2500 0.2500 0.2500  4 Li 2.77
U 0.7500 0.7500 0.7500  4 Li 2.77

Output
The calculation puts the size of the total moment at 2.383 μB/cell. Its space-group type is F-43m. Its energy relative to the lowest polymorph listed for this composition is 0.000 eV per atom.

Material: LiZrU
Method: DFT, GGA-PBE
State: optimized geometry

Cell: 4.5513 4.5513 4.5513 Å, 60.00 60.00 60.00°
Last column: nearest neighbours and their distance in Å.
Positions (direct):
Li 0.0000 0.0000 0.0000  4 U 2.79
Zr 0.5000 0.5000 0.5000  4 U 2.79
U 0.2500 0.2500 0.2500  4 Zr 2.79, 4 Li 2.79

Output
The calculation puts the size of the total moment at 0.108 μB/cell. Its space-group type is F-43m. Its energy relative to the lowest polymorph listed for this composition is 0.272 eV per atom.

Material: LiW
Method: DFT, GGA-PBE
State: optimized geometry

Cell: 3.3550 3.3550 3.3550 Å, 60.00 60.00 60.00°
Last column: nearest neighbours and their distance in Å.
Positions (direct):
Li 0.0000 0.0000 0.0000  6 W 2.37
W 0.5000 0.5000 0.5000  6 Li 2.37

Output
The calculation puts the size of the total moment at 0.007 μB/cell. Its space-group type is Fm-3m. Its energy relative to the lowest polymorph listed for this composition is 1.187 eV per atom.

Material: LiW
Method: DFT, GGA-PBE
State: optimized geometry

Cell: 3.6523 3.6523 3.6523 Å, 60.00 60.00 60.00°
Last column: nearest neighbours and their distance in Å.
Positions (direct):
Li 0.0000 0.0000 0.0000  4 W 2.24
W 0.7500 0.7500 0.7500  4 Li 2.24

Output
The calculation puts the size of the total moment at 0.004 μB/cell. Its space-group type is F-43m. Its energy relative to the lowest polymorph listed for this composition is 2.728 eV per atom.

Material: LiW
Method: DFT, GGA-PBE
State: optimized geometry

Cell: 2.6926 2.6926 4.9468 Å, 90.00 90.00 120.00°
Last column: nearest neighbours and their distance in Å.
Positions (direct):
Li 0.0000 0.0000 0.0000  6 Li 2.69, 6 W 2.92
W 0.6667 0.3333 0.5000  6 W 2.69, 6 Li 2.92

Output
The calculation puts the size of the total moment at 0.002 μB/cell. Its space-group type is P-6m2. Its energy relative to the lowest polymorph listed for this composition is 0.000 eV per atom.

Material: LiYW2
Method: DFT, GGA-PBE
State: optimized geometry

Cell: 4.6463 4.6463 4.6463 Å, 60.00 60.00 60.00°
Last column: nearest neighbours and their distance in Å.
Positions (direct):
Li 0.0000 0.0000 0.0000  4 W 2.85, 4 Y 2.85
Y 0.2500 0.2500 0.2500  4 W 2.85, 4 Li 2.85
W 0.5000 0.5000 0.5000  4 W 2.85, 4 Y 2.85
W 0.7500 0.7500 0.7500  4 Li 2.85, 4 W 2.85

Output
The calculation puts the size of the total moment at 0.000 μB/cell. Its space-group type is F-43m. For the uncorrected energy, the calculation gives -8.105 eV/atom.

Material: Li2ZnW
Method: DFT, GGA-PBE
State: optimized geometry

Cell: 4.2952 4.2952 4.2952 Å, 60.00 60.00 60.00°
Last column: nearest neighbours and their distance in Å.
Positions (direct):
Li 0.0000 0.0000 0.0000  4 W 2.63, 4 Li 2.63
Li 0.2500 0.2500 0.2500  4 Li 2.63, 4 Zn 2.63
Zn 0.5000 0.5000 0.5000  4 W 2.63, 4 Li 2.63
W 0.7500 0.7500 0.7500  4 Li 2.63, 4 Zn 2.63

Output
The calculation puts the size of the total moment at 0.052 μB/cell. Its space-group type is F-43m. For the uncorrected energy, the calculation gives -3.855 eV/atom.

Material: LiZnW2
Method: DFT, GGA-PBE
State: optimized geometry

Cell: 4.3906 4.3906 4.3906 Å, 60.00 60.00 60.00°
Last column: nearest neighbours and their distance in Å.
Positions (direct):
Li 0.0000 0.0000 0.0000  4 Zn 2.69, 4 W 2.69
Zn 0.7500 0.7500 0.7500  4 W 2.69, 4 Li 2.69
W 0.2500 0.2500 0.2500  4 W 2.69, 4 Li 2.69
W 0.5000 0.5000 0.5000  4 W 2.69, 4 Zn 2.69

Output
The calculation puts the size of the total moment at 0.005 μB/cell. Its space-group type is F-43m. For the uncorrected energy, the calculation gives -6.823 eV/atom.